(1)
Below is a relaxed structure of Ac2La3Pr6, with properties calculated at the PBE-GGA level.

## Properties
- Calculated formation energy: 22 kJ/mol of formula units
- M_tot: 0.0000 μB per atom
- E: -4.6771 eV per atom

CIF file:
```
data_Ac2La3Pr6
_chemical_formula_sum 'Ac2 La3 Pr6'
_space_group_name_H-M_alt 'P -1'
_space_group_IT_number 2
_cell_length_a 6.572
_cell_length_b 8.401
_cell_length_c 8.417
_cell_angle_alpha 107.43
_cell_angle_beta 96.98
_cell_angle_gamma 104.86
loop_
_space_group_symop_operation_xyz
'x,y,z'
'-x,-y,-z'
loop_
_atom_site_label
_atom_site_fract_x
_atom_site_fract_y
_atom_site_fract_z
Ac1 0.227 0.405 0.046
La1 0.411 0.133 0.677
La2 0.500 0.500 0.500
Pr1 0.042 0.682 0.413
Pr2 0.138 0.045 0.230
Pr3 0.318 0.778 0.860
```

***

(2)
Below is a relaxed structure of LiAg9Au4, with properties calculated at the PBE-GGA level.

## Properties
- Calculated formation energy: 59 kJ/mol of formula units
- M_tot: 0.0000 μB per atom
- E: -2.8626 eV per atom

CIF file:
```
data_LiAg9Au4
_chemical_formula_sum 'Li2 Ag18 Au8'
_space_group_name_H-M_alt 'P 63/m m c'
_space_group_IT_number 194
_space_group_name_Hall '-P 6c 2c'
_cell_length_a 8.1272
_cell_length_b 8.1272
_cell_length_c 9.0971
_cell_angle_alpha 90.00
_cell_angle_beta 90.00
_cell_angle_gamma 120.00
loop_
_atom_site_label
_atom_site_fract_x
_atom_site_fract_y
_atom_site_fract_z
Li1 0.3333 0.6667 0.2500
Ag1 0.0532 0.5266 0.7500
Ag2 0.2124 0.4248 0.0278
Au1 0.0000 0.0000 0.0000
Au2 0.1155 0.2311 0.7500
```

***

What did the second record say?
Below is a relaxed structure of LiAg9Au4, with properties calculated at the PBE-GGA level.

## Properties
- Calculated formation energy: 59 kJ/mol of formula units
- M_tot: 0.0000 μB per atom
- E: -2.8626 eV per atom

CIF file:
```
data_LiAg9Au4
_chemical_formula_sum 'Li2 Ag18 Au8'
_space_group_name_H-M_alt 'P 63/m m c'
_space_group_IT_number 194
_space_group_name_Hall '-P 6c 2c'
_cell_length_a 8.1272
_cell_length_b 8.1272
_cell_length_c 9.0971
_cell_angle_alpha 90.00
_cell_angle_beta 90.00
_cell_angle_gamma 120.00
loop_
_atom_site_label
_atom_site_fract_x
_atom_site_fract_y
_atom_site_fract_z
Li1 0.3333 0.6667 0.2500
Ag1 0.0532 0.5266 0.7500
Ag2 0.2124 0.4248 0.0278
Au1 0.0000 0.0000 0.0000
Au2 0.1155 0.2311 0.7500
```